Record 1
6
Lattice="-5.670 -1.518 1.138 -2.606 1.768 5.082 -4.293 4.160 -0.131" Properties=species:S:1:pos:R:3 comment="AlAsCl4, optimized geometry, DFT PBE-GGA" raw_formation_energy_ev_per_atom=0.730 spacegroup="F-43m, No. 216" pbc="T T T"
Cl -6.860 3.735 2.217
Cl -4.712 1.653 2.283
Cl -7.549 0.893 2.852
Cl -6.016 2.538 4.826
Al -9.426 3.307 4.567
As 0.000 0.000 0.000


Record 2
4
Lattice="6.796 0.003 0.007 -2.649 3.311 0.100 1.498 1.120 2.589" Properties=species:S:1:pos:R:3 comment="TaCdFe2, optimized geometry, DFT PBE-GGA" ef_ev_per_atom=0.2362 spacegroup="P4/mmm, No. 123" pbc="T T T"
Ta -0.575 2.215 1.345
Cd 2.073 1.657 0.054
Fe 0.000 0.000 0.000
Fe 4.147 0.562 1.298


Record 3
5
Lattice="-1.802 3.840 4.440 -5.352 0.834 -2.893 -2.412 -4.719 3.102" Properties=species:S:1:pos:R:3 comment="Ba3MgCl, optimized geometry, DFT PBE-GGA" raw_formation_energy_ev_per_atom=-0.605 spacegroup="Pm-3m, No. 221" pbc="T T T"
Ba -1.206 -2.359 1.551
Ba -2.676 0.417 -1.447
Ba -0.901 1.920 2.220
Cl 0.000 0.000 0.000
Mg -4.783 -0.023 2.325


Record 4
5
Lattice="5.988 0.000 0.000 0.000 5.988 0.000 0.000 0.000 5.988" Properties=species:S:1:pos:R:3 comment="Cs3ReP, optimized geometry, DFT PBE-GGA" ef_ev_per_atom=1.5787 spacegroup="Pm-3m, No. 221" pbc="T T T"
Cs 2.994 0.000 0.000
Cs 0.000 2.994 0.000
Cs 0.000 0.000 2.994
Re 0.000 0.000 0.000
P 2.994 2.994 2.994


Record 5
24
Lattice="7.066 -0.011 0.000 -4.385 5.541 0.000 0.000 0.000 13.540" Properties=species:S:1:pos:R:3 comment="Rb2SnO3, optimized geometry, DFT PBE-GGA" raw_formation_energy_ev_per_atom=-1.532 spacegroup="Cmce, No. 64" pbc="T T T"
O 3.160 1.883 6.074
O 4.380 2.999 3.385
O -3.325 5.028 8.716
O -2.565 4.659 0.696
O 6.007 0.503 4.824
O -0.357 5.296 10.155
O -0.479 3.648 7.466
O 3.039 0.234 3.385
O 0.281 3.279 1.946
O 5.247 0.871 12.844
O -1.698 2.531 10.155
O 2.400 2.252 11.594
Rb -2.979 4.860 5.738
Rb -3.806 5.261 11.672
Rb 1.919 2.485 8.638
Rb 6.488 0.270 1.868
Rb 0.763 3.046 4.902
Rb 5.660 0.671 7.801
Rb -0.065 3.447 12.508
Rb 2.747 2.084 1.031
Sn 4.270 1.345 4.558
Sn -1.588 4.185 8.982
Sn -1.456 4.121 2.212
Sn 4.137 1.409 11.328


Record 6
8
Lattice="4.338 0.000 1.184 2.061 4.573 0.986 0.111 -0.465 8.131" Properties=species:S:1:pos:R:3 comment="DyErAu6, optimized geometry, DFT PBE-GGA" ef_ev_per_atom=-0.6776 spacegroup="C2/m, No. 12" pbc="T T T"
Au 2.955 3.699 6.252
Au 3.556 0.409 4.049
Au 2.767 0.781 6.937
Au 4.634 2.453 8.638
Au 3.743 3.327 3.364
Au 1.876 1.655 1.664
Er 0.000 0.000 0.000
Dy 1.086 2.054 4.558


Calculated D(E_F), 1.103; 0.697; 2.121; 1.397; 0.000; 0.415 states/eV per atom (same order as the records).